#i
BeSnAu4 | PBE | optimized geometry

The space group is C2/c (No. 15) and the conventional cell measures 16.905, 5.850 and 4.639 Å, with angles of 90.00, 102.23 and 90.00 degrees. The distinct sites, in fractional coordinates, are Be at (0.250, 0.250, 0.000), Sn at (0.000, 0.227, 0.250), Au at (0.107, 0.352, 0.831) and Au at (0.180, 0.132, 0.382).

Its density of states at the Fermi level is 0.33 states/eV/atom.

=====

#ii
BeSnAu4 | PBE | optimized geometry

The space group is C2/c (No. 15) and the conventional cell measures 8.714, 10.615 and 5.274 Å, with angles of 90.00, 114.09 and 90.00 degrees. The distinct sites, in fractional coordinates, are Be at (0.000, 0.003, 0.250), Sn at (0.000, 0.394, 0.250), Au at (0.116, 0.180, 0.599) and Au at (0.240, 0.085, 0.167).

Its density of states at the Fermi level is 0.27 states/eV/atom.

=====

Energy ordering: #ii at the bottom, the next structure 27 meV per atom above.

=====

#i
BeSnAu | PBE | optimized geometry

The space group is F-43m (No. 216) and the conventional cell measures 6.011, 6.011 and 6.011 Å, with angles of 90.00, 90.00 and 90.00 degrees. The distinct sites, in fractional coordinates, are Be at (0.000, 0.000, 0.000), Sn at (0.250, 0.250, 0.750) and Au at (0.250, 0.250, 0.250).

Its density of states at the Fermi level is 0.68 states/eV/atom.

=====

#ii
BeSnAu | PBE | optimized geometry

The space group is I4/mmm (No. 139) and the conventional cell measures 3.117, 3.117 and 23.041 Å, with angles of 90.00, 90.00 and 90.00 degrees. The distinct sites, in fractional coordinates, are Be at (0.000, 0.000, 0.221), Sn at (0.000, 0.000, 0.074) and Au at (0.000, 0.000, 0.325).

Its density of states at the Fermi level is 0.28 states/eV/atom.

=====

Energy ordering: #ii at the bottom, the next structure 118 meV per atom above.

=====

#i
SrBe2Au | PBE | optimized geometry

The space group is I4_1/amd (No. 141, origin choice 2) and the conventional cell measures 4.786, 4.786 and 15.233 Å, with angles of 90.00, 90.00 and 90.00 degrees. The distinct sites, in fractional coordinates, are Sr at (0.000, 0.250, 0.375), Be at (0.000, 0.000, 0.000) and Au at (0.000, 0.250, 0.875).

Its density of states at the Fermi level is 0.43 states/eV/atom.

=====

#ii
SrBe2Au | PBE | optimized geometry

The space group is Cm (No. 8) and the conventional cell measures 7.084, 4.080 and 6.028 Å, with angles of 90.00, 112.50 and 90.00 degrees. The distinct sites, in fractional coordinates, are Sr at (0.000, 0.000, 0.000), Be at (0.005, 0.500, 0.513), Be at (0.322, 0.500, 0.463) and Au at (0.187, 0.000, 0.558).

Its density of states at the Fermi level is 0.46 states/eV/atom.

=====

#iii
SrBe2Au | PBE | optimized geometry

The space group is F-43m (No. 216) and the conventional cell measures 6.780, 6.780 and 6.780 Å, with angles of 90.00, 90.00 and 90.00 degrees. The distinct sites, in fractional coordinates, are Sr at (0.000, 0.000, 0.000), Be at (0.000, 0.000, 0.500), Be at (0.250, 0.250, 0.250) and Au at (0.250, 0.250, 0.750).

Its density of states at the Fermi level is 0.79 states/eV/atom.

=====

Energy ordering: #ii at the bottom, the next structure 174 meV per atom above.

=====

#i
SrBe2Au | PBE | optimized geometry

The space group is Pm (No. 6) and the conventional cell measures 3.680, 3.839 and 5.703 Å, with angles of 90.00, 101.90 and 90.00 degrees. The distinct sites, in fractional coordinates, are Sr at (0.000, 0.000, 0.000), Be at (0.369, 0.500, 0.682), Be at (0.421, 0.000, 0.524) and Au at (0.791, 0.500, 0.444).

Its density of states at the Fermi level is 0.36 states/eV/atom.

=====

#ii
SrBe2Au | PBE | optimized geometry

The space group is Imm2 (No. 44) and the conventional cell measures 4.079, 5.778 and 7.169 Å, with angles of 90.00, 90.00 and 90.00 degrees. The distinct sites, in fractional coordinates, are Sr at (0.000, 0.000, 0.000), Be at (0.000, 0.000, 0.470), Be at (0.000, 0.500, 0.835) and Au at (0.000, 0.500, 0.152).

Its density of states at the Fermi level is 0.53 states/eV/atom.

=====

#iii
SrBe2Au | PBE | optimized geometry

The space group is Fm-3m (No. 225) and the conventional cell measures 6.521, 6.521 and 6.521 Å, with angles of 90.00, 90.00 and 90.00 degrees. The distinct sites, in fractional coordinates, are Sr at (0.000, 0.000, 0.000), Be at (0.250, 0.250, 0.250) and Au at (0.000, 0.000, 0.500).

Its density of states at the Fermi level is 0.57 states/eV/atom.

=====

Energy ordering: #i at the bottom, the next structure 152 meV per atom above.